Entry 1:
Crystalline ZnH3S at its relaxed geometry, computed with GGA-PBEsol.

Calculated total energy ... -12.9 eV/cell

Geometry as CIF:
```
data_ZnH3S
_chemical_formula_sum 'Zn1 H3 S1'
_cell_length_a 3.573
_cell_length_b 3.573
_cell_length_c 3.573
_cell_angle_alpha 90.00
_cell_angle_beta 90.00
_cell_angle_gamma 90.00
_space_group_name_H-M_alt 'P m -3 m'
_space_group_IT_number 221
_space_group_name_Hall '-P 4 2 3'
loop_
_atom_site_label
_atom_site_fract_x
_atom_site_fract_y
_atom_site_fract_z
Zn1 0.000 0.000 0.000
H1 0.000 0.500 0.500
S1 0.500 0.500 0.500
```


Entry 2:
Crystalline ZrH2S at its relaxed geometry, computed with GGA-PBEsol.

Calculated total energy ... -83.4 eV/cell

Geometry as CIF:
```
data_ZrH2S
_chemical_formula_sum 'Zr4 H8 S4'
_cell_length_a 5.413
_cell_length_b 5.413
_cell_length_c 5.413
_cell_angle_alpha 90.00
_cell_angle_beta 90.00
_cell_angle_gamma 90.00
_space_group_name_H-M_alt 'F m -3 m'
_space_group_IT_number 225
_space_group_name_Hall '-F 4 2 3'
loop_
_atom_site_label
_atom_site_fract_x
_atom_site_fract_y
_atom_site_fract_z
Zr1 0.000 0.000 0.000
H1 0.250 0.250 0.250
S1 0.000 0.000 0.500
```


Entry 3:
Crystalline ZrH3S at its relaxed geometry, computed with GGA-PBEsol.

Calculated total energy ... -23.0 eV/cell

Geometry as CIF:
```
data_ZrH3S
_chemical_formula_sum 'Zr1 H3 S1'
_cell_length_a 3.721
_cell_length_b 3.721
_cell_length_c 3.721
_cell_angle_alpha 90.00
_cell_angle_beta 90.00
_cell_angle_gamma 90.00
_space_group_name_H-M_alt 'P m -3 m'
_space_group_IT_number 221
_space_group_name_Hall '-P 4 2 3'
loop_
_atom_site_label
_atom_site_fract_x
_atom_site_fract_y
_atom_site_fract_z
Zr1 0.000 0.000 0.000
H1 0.000 0.000 0.500
S1 0.500 0.500 0.500
```


Entry 4:
Crystalline Sc2SbH2 at its relaxed geometry, computed with GGA-PBEsol.

Calculated total energy ... -56.4 eV/cell

Geometry as CIF:
```
data_Sc2SbH2
_chemical_formula_sum 'Sc4 Sb2 H4'
_cell_length_a 3.725
_cell_length_b 3.725
_cell_length_c 9.762
_cell_angle_alpha 90.00
_cell_angle_beta 90.00
_cell_angle_gamma 90.00
_space_group_name_H-M_alt 'I 4/m m m'
_space_group_IT_number 139
_space_group_name_Hall '-I 4 2'
loop_
_atom_site_label
_atom_site_fract_x
_atom_site_fract_y
_atom_site_fract_z
Sc1 0.000 0.000 0.159
Sb1 0.000 0.000 0.500
H1 0.000 0.500 0.250
```


Entry 5:
Crystalline ScSiSbH2 at its relaxed geometry, computed with GGA-PBEsol.

Calculated total energy ... -22.5 eV/cell

Geometry as CIF:
```
data_ScSiSbH2
_chemical_formula_sum 'Sc1 Si1 Sb1 H2'
_cell_length_a 3.882
_cell_length_b 3.882
_cell_length_c 5.662
_cell_angle_alpha 90.00
_cell_angle_beta 90.00
_cell_angle_gamma 90.00
_space_group_name_H-M_alt 'P 4/m m m'
_space_group_IT_number 123
_space_group_name_Hall '-P 4 2'
loop_
_atom_site_label
_atom_site_fract_x
_atom_site_fract_y
_atom_site_fract_z
Sc1 0.000 0.000 0.000
Si1 0.500 0.500 0.500
Sb1 0.500 0.500 0.000
H1 0.000 0.500 0.500
```


Entry 6:
Crystalline SbH3Se at its relaxed geometry, computed with GGA-PBEsol.

Calculated total energy ... -15.3 eV/cell

Geometry as CIF:
```
data_SbH3Se
_chemical_formula_sum 'Sb1 H3 Se1'
_cell_length_a 3.903
_cell_length_b 3.903
_cell_length_c 3.903
_cell_angle_alpha 90.00
_cell_angle_beta 90.00
_cell_angle_gamma 90.00
_space_group_name_H-M_alt 'P m -3 m'
_space_group_IT_number 221
_space_group_name_Hall '-P 4 2 3'
loop_
_atom_site_label
_atom_site_fract_x
_atom_site_fract_y
_atom_site_fract_z
Sb1 0.000 0.000 0.000
H1 0.000 0.000 0.500
Se1 0.500 0.500 0.500
```


Entry 7:
Crystalline SbHSe2 at its relaxed geometry, computed with GGA-PBEsol.

Calculated total energy ... -47.2 eV/cell

Geometry as CIF:
```
data_SbHSe2
_chemical_formula_sum 'Sb3 H3 Se6'
_cell_length_a 4.1614
_cell_length_b 4.1614
_cell_length_c 19.8475
_cell_angle_alpha 90.00
_cell_angle_beta 90.00
_cell_angle_gamma 120.00
_space_group_name_H-M_alt 'R -3 m'
_space_group_IT_number 166
_space_group_name_Hall '-R 3 2"'
loop_
_atom_site_label
_atom_site_fract_x
_atom_site_fract_y
_atom_site_fract_z
Sb1 0.0000 0.0000 0.0000
H1 0.0000 0.0000 0.5000
Se1 0.0000 0.0000 0.4122
```


Entry 8:
Crystalline Sb2H2Se at its relaxed geometry, computed with GGA-PBEsol.

Calculated total energy ... -35.6 eV/cell

Geometry as CIF:
```
data_Sb2H2Se
_chemical_formula_sum 'Sb4 H4 Se2'
_cell_length_a 3.737
_cell_length_b 3.737
_cell_length_c 11.416
_cell_angle_alpha 90.00
_cell_angle_beta 90.00
_cell_angle_gamma 90.00
_space_group_name_H-M_alt 'I 4/m m m'
_space_group_IT_number 139
_space_group_name_Hall '-I 4 2'
loop_
_atom_site_label
_atom_site_fract_x
_atom_site_fract_y
_atom_site_fract_z
Sb1 0.000 0.000 0.137
H1 0.000 0.500 0.250
Se1 0.000 0.000 0.500
```


Entry 9:
Crystalline SiSb2TeH at its relaxed geometry, computed with GGA-PBEsol.

Calculated total energy ... -16.6 eV/cell

Geometry as CIF:
```
data_SiSb2TeH
_chemical_formula_sum 'Si1 Sb2 Te1 H1'
_cell_length_a 5.157
_cell_length_b 5.157
_cell_length_c 5.271
_cell_angle_alpha 90.00
_cell_angle_beta 90.00
_cell_angle_gamma 90.00
_space_group_name_H-M_alt 'P 4/m m m'
_space_group_IT_number 123
_space_group_name_Hall '-P 4 2'
loop_
_atom_site_label
_atom_site_fract_x
_atom_site_fract_y
_atom_site_fract_z
Si1 0.000 0.000 0.000
Sb1 0.000 0.500 0.000
Te1 0.000 0.000 0.500
H1 0.500 0.500 0.500
```


Entry 10:
Crystalline Sm5Sb3H at its relaxed geometry, computed with GGA-PBEsol.

Calculated total energy ... -102.5 eV/cell

Geometry as CIF:
```
data_Sm5Sb3H
_chemical_formula_sum 'Sm10 Sb6 H2'
_cell_length_a 9.0743
_cell_length_b 9.0743
_cell_length_c 6.2231
_cell_angle_alpha 90.00
_cell_angle_beta 90.00
_cell_angle_gamma 120.00
_space_group_name_H-M_alt 'P 63/m c m'
_space_group_IT_number 193
_space_group_name_Hall '-P 6c 2'
loop_
_atom_site_label
_atom_site_fract_x
_atom_site_fract_y
_atom_site_fract_z
Sm1 0.0000 0.2519 0.2500
Sm2 0.3333 0.6667 0.0000
Sb1 0.0000 0.3868 0.7500
H1 0.0000 0.0000 0.0000
```


Entry 11:
Crystalline Sr3SbH at its relaxed geometry, computed with GGA-PBEsol.

Calculated total energy ... -15.9 eV/cell

Geometry as CIF:
```
data_Sr3SbH
_chemical_formula_sum 'Sr3 Sb1 H1'
_cell_length_a 5.163
_cell_length_b 5.163
_cell_length_c 5.163
_cell_angle_alpha 90.00
_cell_angle_beta 90.00
_cell_angle_gamma 90.00
_space_group_name_H-M_alt 'P m -3 m'
_space_group_IT_number 221
_space_group_name_Hall '-P 4 2 3'
loop_
_atom_site_label
_atom_site_fract_x
_atom_site_fract_y
_atom_site_fract_z
Sr1 0.000 0.000 0.500
Sb1 0.500 0.500 0.500
H1 0.000 0.000 0.000
```


Entry 12:
Crystalline Sr2TaSbH at its relaxed geometry, computed with GGA-PBEsol.

Calculated total energy ... -20.1 eV/cell

Geometry as CIF:
```
data_Sr2TaSbH
_chemical_formula_sum 'Sr2 Ta1 Sb1 H1'
_cell_length_a 6.005
_cell_length_b 6.005
_cell_length_c 5.153
_cell_angle_alpha 90.00
_cell_angle_beta 90.00
_cell_angle_gamma 90.00
_space_group_name_H-M_alt 'P 4/m m m'
_space_group_IT_number 123
_space_group_name_Hall '-P 4 2'
loop_
_atom_site_label
_atom_site_fract_x
_atom_site_fract_y
_atom_site_fract_z
Sr1 0.000 0.500 0.000
Ta1 0.000 0.000 0.000
Sb1 0.000 0.000 0.500
H1 0.500 0.500 0.500
```


Entry 13:
Crystalline SrSbTe2H at its relaxed geometry, computed with GGA-PBEsol.

Calculated total energy ... -18.5 eV/cell

Geometry as CIF:
```
data_SrSbTe2H
_chemical_formula_sum 'Sr1 Sb1 Te2 H1'
_cell_length_a 5.511
_cell_length_b 5.511
_cell_length_c 4.010
_cell_angle_alpha 90.00
_cell_angle_beta 90.00
_cell_angle_gamma 90.00
_space_group_name_H-M_alt 'P 4/m m m'
_space_group_IT_number 123
_space_group_name_Hall '-P 4 2'
loop_
_atom_site_label
_atom_site_fract_x
_atom_site_fract_y
_atom_site_fract_z
Sr1 0.000 0.000 0.000
Sb1 0.500 0.500 0.000
Te1 0.000 0.500 0.500
H1 0.500 0.500 0.500
```


Entry 14:
Crystalline SrYSb2H at its relaxed geometry, computed with GGA-PBEsol.

Calculated total energy ... -23.9 eV/cell

Geometry as CIF:
```
data_SrYSb2H
_chemical_formula_sum 'Sr1 Y1 Sb2 H1'
_cell_length_a 5.321
_cell_length_b 5.321
_cell_length_c 4.136
_cell_angle_alpha 90.00
_cell_angle_beta 90.00
_cell_angle_gamma 90.00
_space_group_name_H-M_alt 'P 4/m m m'
_space_group_IT_number 123
_space_group_name_Hall '-P 4 2'
loop_
_atom_site_label
_atom_site_fract_x
_atom_site_fract_y
_atom_site_fract_z
Sr1 0.000 0.000 0.000
Y1 0.500 0.500 0.000
Sb1 0.000 0.500 0.500
H1 0.500 0.500 0.500
```


Entry 15:
Crystalline SrZrSbH2 at its relaxed geometry, computed with GGA-PBEsol.

Calculated total energy ... -23.6 eV/cell

Geometry as CIF:
```
data_SrZrSbH2
_chemical_formula_sum 'Sr1 Zr1 Sb1 H2'
_cell_length_a 4.363
_cell_length_b 4.363
_cell_length_c 5.524
_cell_angle_alpha 90.00
_cell_angle_beta 90.00
_cell_angle_gamma 90.00
_space_group_name_H-M_alt 'P 4/m m m'
_space_group_IT_number 123
_space_group_name_Hall '-P 4 2'
loop_
_atom_site_label
_atom_site_fract_x
_atom_site_fract_y
_atom_site_fract_z
Sr1 0.000 0.000 0.000
Zr1 0.500 0.500 0.500
Sb1 0.500 0.500 0.000
H1 0.000 0.500 0.500
```


Entry 16:
Crystalline TaSbH3 at its relaxed geometry, computed with GGA-PBEsol.

Calculated total energy ... -20.7 eV/cell

Geometry as CIF:
```
data_TaSbH3
_chemical_formula_sum 'Ta1 Sb1 H3'
_cell_length_a 3.772
_cell_length_b 3.772
_cell_length_c 3.772
_cell_angle_alpha 90.00
_cell_angle_beta 90.00
_cell_angle_gamma 90.00
_space_group_name_H-M_alt 'P m -3 m'
_space_group_IT_number 221
_space_group_name_Hall '-P 4 2 3'
loop_
_atom_site_label
_atom_site_fract_x
_atom_site_fract_y
_atom_site_fract_z
Ta1 0.000 0.000 0.000
Sb1 0.500 0.500 0.500
H1 0.000 0.500 0.500
```


Entry 17:
Crystalline TaSb2H2 at its relaxed geometry, computed with GGA-PBEsol.

Energy above the lowest structure with this stoichiometry ... 0.0 meV/atom

Geometry as CIF:
```
data_TaSb2H2
_chemical_formula_sum 'Ta2 Sb4 H4'
_cell_length_a 5.090
_cell_length_b 5.090
_cell_length_c 5.903
_cell_angle_alpha 90.00
_cell_angle_beta 90.00
_cell_angle_gamma 90.00
_space_group_name_H-M_alt 'I 4/m m m'
_space_group_IT_number 139
_space_group_name_Hall '-I 4 2'
loop_
_atom_site_label
_atom_site_fract_x
_atom_site_fract_y
_atom_site_fract_z
Ta1 0.000 0.000 0.000
Sb1 0.000 0.500 0.250
H1 0.000 0.000 0.427
```


Entry 18:
Crystalline TaSb2H2 at its relaxed geometry, computed with GGA-PBEsol.

Energy above the lowest structure with this stoichiometry ... 95.1 meV/atom

Geometry as CIF:
```
data_TaSb2H2
_chemical_formula_sum 'Ta2 Sb4 H4'
_cell_length_a 6.430
_cell_length_b 6.430
_cell_length_c 3.377
_cell_angle_alpha 90.00
_cell_angle_beta 90.00
_cell_angle_gamma 90.00
_space_group_name_H-M_alt 'P 4/m b m'
_space_group_IT_number 127
_space_group_name_Hall '-P 4 2ab'
loop_
_atom_site_label
_atom_site_fract_x
_atom_site_fract_y
_atom_site_fract_z
Ta1 0.000 0.000 0.000
Sb1 0.156 0.344 0.500
H1 0.179 0.679 0.000
```


Entry 19:
Crystalline TaTi2SbH at its relaxed geometry, computed with GGA-PBEsol.

Calculated total energy ... -38.9 eV/cell

Geometry as CIF:
```
data_TaTi2SbH
_chemical_formula_sum 'Ta1 Ti2 Sb1 H1'
_cell_length_a 4.245
_cell_length_b 4.245
_cell_length_c 3.909
_cell_angle_alpha 90.00
_cell_angle_beta 90.00
_cell_angle_gamma 90.00
_space_group_name_H-M_alt 'P 4/m m m'
_space_group_IT_number 123
_space_group_name_Hall '-P 4 2'
loop_
_atom_site_label
_atom_site_fract_x
_atom_site_fract_y
_atom_site_fract_z
Ta1 0.000 0.000 0.000
Ti1 0.000 0.500 0.500
Sb1 0.500 0.500 0.000
H1 0.000 0.000 0.500
```


Entry 20:
Crystalline SbTe3H at its relaxed geometry, computed with GGA-PBEsol.

Calculated total energy ... -13.4 eV/cell

Geometry as CIF:
```
data_SbTe3H
_chemical_formula_sum 'Sb1 Te3 H1'
_cell_length_a 5.719
_cell_length_b 5.719
_cell_length_c 5.719
_cell_angle_alpha 90.00
_cell_angle_beta 90.00
_cell_angle_gamma 90.00
_space_group_name_H-M_alt 'P m -3 m'
_space_group_IT_number 221
_space_group_name_Hall '-P 4 2 3'
loop_
_atom_site_label
_atom_site_fract_x
_atom_site_fract_y
_atom_site_fract_z
Sb1 0.000 0.000 0.000
Te1 0.000 0.000 0.500
H1 0.500 0.500 0.500
```